# 1
# PuCd2In (PBE, optimized geometry)
data_PuCd2In
_space_group_name_H-M_alt 'F m -3 m'
_space_group_IT_number 225
_space_group_name_Hall '-F 4 2 3'
_cell_length_a 7.3291
_cell_length_b 7.3291
_cell_length_c 7.3291
_cell_angle_alpha 90.00
_cell_angle_beta 90.00
_cell_angle_gamma 90.00
loop_
_atom_site_label
_atom_site_type_symbol
_atom_site_fract_x
_atom_site_fract_y
_atom_site_fract_z
_atom_site_occupancy
Pu1 Pu 0.0000 0.0000 0.0000 1
Cd1 Cd 0.2500 0.2500 0.2500 1
In1 In 0.0000 0.0000 0.5000 1
# Excess energy over the best structure of this formula in the dataset   43 meV per atom
# Formation enthalpy at 0 K   -0.23 eV per formula unit

---

# 2
# LaTlRuPb2 (PBE, optimized geometry)
data_LaTlRuPb2
_space_group_name_H-M_alt 'P 4/m m m'
_space_group_IT_number 123
_space_group_name_Hall '-P 4 2'
_cell_length_a 5.3570
_cell_length_b 5.3570
_cell_length_c 5.2864
_cell_angle_alpha 90.00
_cell_angle_beta 90.00
_cell_angle_gamma 90.00
loop_
_atom_site_label
_atom_site_type_symbol
_atom_site_fract_x
_atom_site_fract_y
_atom_site_fract_z
_atom_site_occupancy
La1 La 0.0000 0.0000 0.0000 1
Tl1 Tl 0.5000 0.5000 0.0000 1
Ru1 Ru 0.0000 0.0000 0.5000 1
Pb1 Pb 0.0000 0.5000 0.5000 1
# Formation enthalpy at 0 K   -0.67 eV per formula unit

---

# 3
# Ce7Sn3Ru2 (PBE, optimized geometry)
data_Ce7Sn3Ru2
_space_group_name_H-M_alt 'C m m m'
_space_group_IT_number 65
_space_group_name_Hall '-C 2 2'
_cell_length_a 5.2175
_cell_length_b 25.8050
_cell_length_c 5.1024
_cell_angle_alpha 90.00
_cell_angle_beta 90.00
_cell_angle_gamma 90.00
loop_
_atom_site_label
_atom_site_type_symbol
_atom_site_fract_x
_atom_site_fract_y
_atom_site_fract_z
_atom_site_occupancy
Ce1 Ce 0.0000 0.0000 0.0000 1
Ce2 Ce 0.0000 0.0958 0.5000 1
Ce3 Ce 0.0000 0.2204 0.0000 1
Ce4 Ce 0.0000 0.3904 0.0000 1
Sn1 Sn 0.0000 0.3097 0.5000 1
Sn2 Sn 0.0000 0.5000 0.5000 1
Ru1 Ru 0.0000 0.1076 0.0000 1
# Formation enthalpy at 0 K   -4.58 eV per formula unit

---

# 4
# La4TlCd2 (PBE, optimized geometry)
data_La4TlCd2
_space_group_name_H-M_alt 'R -3 m'
_space_group_IT_number 166
_space_group_name_Hall '-R 3 2"'
_cell_length_a 5.5118
_cell_length_b 5.5118
_cell_length_c 26.3925
_cell_angle_alpha 90.00
_cell_angle_beta 90.00
_cell_angle_gamma 120.00
loop_
_atom_site_label
_atom_site_type_symbol
_atom_site_fract_x
_atom_site_fract_y
_atom_site_fract_z
_atom_site_occupancy
La1 La 0.0000 0.0000 0.1163 1
La2 La 0.0000 0.0000 0.3693 1
Tl1 Tl 0.0000 0.0000 0.5000 1
Cd1 Cd 0.0000 0.0000 0.2453 1
# Formation enthalpy at 0 K   -1.51 eV per formula unit

---

# 5
# NdGa2Co3 (PBE, optimized geometry)
data_NdGa2Co3
_space_group_name_H-M_alt 'P 6/m m m'
_space_group_IT_number 191
_space_group_name_Hall '-P 6 2'
_cell_length_a 5.3265
_cell_length_b 5.3265
_cell_length_c 3.7430
_cell_angle_alpha 90.00
_cell_angle_beta 90.00
_cell_angle_gamma 120.00
loop_
_atom_site_label
_atom_site_type_symbol
_atom_site_fract_x
_atom_site_fract_y
_atom_site_fract_z
_atom_site_occupancy
Nd1 Nd 0.0000 0.0000 0.0000 1
Ga1 Ga 0.3333 0.6667 0.0000 1
Co1 Co 0.0000 0.5000 0.5000 1
# Formation enthalpy at 0 K   -1.95 eV per formula unit

---

# 6
# ZrSc2AlS (PBE, optimized geometry)
data_ZrSc2AlS
_space_group_name_H-M_alt 'P 4/m m m'
_space_group_IT_number 123
_space_group_name_Hall '-P 4 2'
_cell_length_a 5.2943
_cell_length_b 5.2943
_cell_length_c 4.7968
_cell_angle_alpha 90.00
_cell_angle_beta 90.00
_cell_angle_gamma 90.00
loop_
_atom_site_label
_atom_site_type_symbol
_atom_site_fract_x
_atom_site_fract_y
_atom_site_fract_z
_atom_site_occupancy
Zr1 Zr 0.0000 0.0000 0.0000 1
Sc1 Sc 0.0000 0.5000 0.0000 1
Al1 Al 0.5000 0.5000 0.5000 1
S1 S 0.0000 0.0000 0.5000 1
# VASP energy   -26.83 eV/cell